(1)
# YHoN PBE-GGA relaxed
data_YHoN
_symmetry_space_group_name_H-M 'P 4/m m m'
_symmetry_Int_Tables_number 123
_symmetry_space_group_name_Hall '-P 4 2'
_cell_length_a 3.5343
_cell_length_b 3.5343
_cell_length_c 4.7786
_cell_angle_alpha 90.00
_cell_angle_beta 90.00
_cell_angle_gamma 90.00
loop_
_atom_site_label
_atom_site_type_symbol
_atom_site_fract_x
_atom_site_fract_y
_atom_site_fract_z
_atom_site_occupancy
Y1 Y 0.0000 0.0000 0.0000 1
Ho1 Ho 0.5000 0.5000 0.5000 1
N1 N 0.5000 0.5000 0.0000 1
# **Fermi-level density of states**: 2.47 states/eV/f.u.
# **Total energy**: -7.46 eV per atom
# **M_tot**: 0.0 μB per formula unit
# **Formation energy (no corrections)**: -97 kJ/mol of atoms


(2)
# CuNiSbS4 PBE-GGA relaxed
data_CuNiSbS4
_symmetry_space_group_name_H-M 'I m m a'
_symmetry_Int_Tables_number 74
_symmetry_space_group_name_Hall '-I 2b 2'
_cell_length_a 7.1757
_cell_length_b 7.2599
_cell_length_c 10.0315
_cell_angle_alpha 90.00
_cell_angle_beta 90.00
_cell_angle_gamma 90.00
loop_
_atom_site_label
_atom_site_type_symbol
_atom_site_fract_x
_atom_site_fract_y
_atom_site_fract_z
_atom_site_occupancy
Cu1 Cu 0.0000 0.2500 0.1407 1
Ni1 Ni 0.2500 0.2500 0.7500 1
Sb1 Sb 0.0000 0.0000 0.5000 1
S1 S 0.0000 0.0287 0.7545 1
S2 S 0.2407 0.2500 0.9833 1
# **Fermi-level density of states**: 4.48 states/eV/f.u.
# **Total energy**: -4.55 eV per atom
# **M_tot**: 0.0 μB per formula unit
# **Formation energy (no corrections)**: -19 kJ/mol of atoms


(3)
# W2C PBE-GGA relaxed
data_W2C
_symmetry_space_group_name_H-M 'C m c m'
_symmetry_Int_Tables_number 63
_symmetry_space_group_name_Hall '-C 2c 2'
_cell_length_a 3.0252
_cell_length_b 11.2875
_cell_length_c 4.4702
_cell_angle_alpha 90.00
_cell_angle_beta 90.00
_cell_angle_gamma 90.00
loop_
_atom_site_label
_atom_site_type_symbol
_atom_site_fract_x
_atom_site_fract_y
_atom_site_fract_z
_atom_site_occupancy
W1 W 0.0000 0.0661 0.2500 1
W2 W 0.0000 0.3297 0.2500 1
C1 C 0.0000 0.3069 0.7500 1
# **Fermi-level density of states**: 1.90 states/eV/f.u.
# **Total energy**: -11.57 eV per atom
# **Energy of formation from the pure elements**: 0.4 eV/f.u.
# **M_tot**: 0.0 μB per formula unit


(4)
# Pm3AlNi2 PBE-GGA relaxed
data_Pm3AlNi2
_symmetry_space_group_name_H-M 'R -3 c'
_symmetry_Int_Tables_number 167
_symmetry_space_group_name_Hall '-R 3 2"c'
_cell_length_a 8.4096
_cell_length_b 8.4096
_cell_length_c 14.1994
_cell_angle_alpha 90.00
_cell_angle_beta 90.00
_cell_angle_gamma 120.00
loop_
_atom_site_label
_atom_site_type_symbol
_atom_site_fract_x
_atom_site_fract_y
_atom_site_fract_z
_atom_site_occupancy
Pm1 Pm 0.0000 0.3146 0.2500 1
Al1 Al 0.0000 0.0000 0.0000 1
Ni1 Ni 0.0000 0.0000 0.1652 1
# **Fermi-level density of states**: 6.63 states/eV/f.u.
# **Total energy**: -5.15 eV per atom
# **Energy of formation from the pure elements**: -1.4 eV/f.u.
# **M_tot**: 0.0 μB per formula unit


(5)
# PrDy2Sb PBE-GGA relaxed
data_PrDy2Sb
_symmetry_space_group_name_H-M 'R 3 m'
_symmetry_Int_Tables_number 160
_symmetry_space_group_name_Hall 'R 3 -2"'
_cell_length_a 4.0250
_cell_length_b 4.0250
_cell_length_c 28.9025
_cell_angle_alpha 90.00
_cell_angle_beta 90.00
_cell_angle_gamma 120.00
loop_
_atom_site_label
_atom_site_type_symbol
_atom_site_fract_x
_atom_site_fract_y
_atom_site_fract_z
_atom_site_occupancy
Pr1 Pr 0.0000 0.0000 0.0000 1
Dy1 Dy 0.0000 0.0000 0.5658 1
Dy2 Dy 0.0000 0.0000 0.7661 1
Sb1 Sb 0.0000 0.0000 0.1656 1
# **Fermi-level density of states**: 4.73 states/eV/f.u.
# **Total energy**: -4.88 eV per atom
# **M_tot**: 0.4 μB per formula unit
# **Formation energy (no corrections)**: -34 kJ/mol of atoms


(6)
# TcTeAuN2 PBE-GGA relaxed
data_TcTeAuN2
_symmetry_space_group_name_H-M 'P 4/m m m'
_symmetry_Int_Tables_number 123
_symmetry_space_group_name_Hall '-P 4 2'
_cell_length_a 3.8771
_cell_length_b 3.8771
_cell_length_c 7.5228
_cell_angle_alpha 90.00
_cell_angle_beta 90.00
_cell_angle_gamma 90.00
loop_
_atom_site_label
_atom_site_type_symbol
_atom_site_fract_x
_atom_site_fract_y
_atom_site_fract_z
_atom_site_occupancy
Tc1 Tc 0.0000 0.0000 0.0000 1
Te1 Te 0.5000 0.5000 0.0000 1
Au1 Au 0.5000 0.5000 0.5000 1
N1 N 0.0000 0.5000 0.5000 1
# **Fermi-level density of states**: 7.00 states/eV/f.u.
# **Total energy**: -4.59 eV per atom
# **M_tot**: 3.0 μB per formula unit
# **Formation energy (no corrections)**: 202 kJ/mol of atoms


(7)
# TbEr2Co PBE-GGA relaxed
data_TbEr2Co
_symmetry_space_group_name_H-M 'C m c m'
_symmetry_Int_Tables_number 63
_symmetry_space_group_name_Hall '-C 2c 2'
_cell_length_a 3.6379
_cell_length_b 11.9547
_cell_length_c 9.2798
_cell_angle_alpha 90.00
_cell_angle_beta 90.00
_cell_angle_gamma 90.00
loop_
_atom_site_label
_atom_site_type_symbol
_atom_site_fract_x
_atom_site_fract_y
_atom_site_fract_z
_atom_site_occupancy
Tb1 Tb 0.0000 0.0830 0.2500 1
Er1 Er 0.0000 0.3584 0.0719 1
Co1 Co 0.0000 0.2479 0.7500 1
# **Fermi-level density of states**: 5.20 states/eV/f.u.
# **Total energy**: -5.37 eV per atom
# **Energy of formation from the pure elements**: -0.6 eV/f.u.
# **M_tot**: 0.0 μB per formula unit


(8)
# KAlHgF6 PBE-GGA relaxed
data_KAlHgF6
_symmetry_space_group_name_H-M 'P -3 1 c'
_symmetry_Int_Tables_number 163
_symmetry_space_group_name_Hall '-P 3 2c'
_cell_length_a 5.7225
_cell_length_b 5.7225
_cell_length_c 10.5654
_cell_angle_alpha 90.00
_cell_angle_beta 90.00
_cell_angle_gamma 120.00
loop_
_atom_site_label
_atom_site_type_symbol
_atom_site_fract_x
_atom_site_fract_y
_atom_site_fract_z
_atom_site_occupancy
K1 K 0.0000 0.0000 0.0000 1
Al1 Al 0.3333 0.6667 0.2500 1
Hg1 Hg 0.3333 0.6667 0.7500 1
F1 F 0.0646 0.4079 0.1504 1
# **Fermi-level density of states**: 0.00 states/eV/f.u.
# **Total energy**: -4.54 eV per atom
# **M_tot**: 0.0 μB per formula unit
# **Formation energy (no corrections)**: -263 kJ/mol of atoms


(9)
# PuV4Ru5 PBE-GGA relaxed
data_PuV4Ru5
_symmetry_space_group_name_H-M 'P 4/m m m'
_symmetry_Int_Tables_number 123
_symmetry_space_group_name_Hall '-P 4 2'
_cell_length_a 2.9910
_cell_length_b 2.9910
_cell_length_c 16.5036
_cell_angle_alpha 90.00
_cell_angle_beta 90.00
_cell_angle_gamma 90.00
loop_
_atom_site_label
_atom_site_type_symbol
_atom_site_fract_x
_atom_site_fract_y
_atom_site_fract_z
_atom_site_occupancy
Pu1 Pu 0.0000 0.0000 0.0000 1
V1 V 0.0000 0.0000 0.2173 1
V2 V 0.0000 0.0000 0.4063 1
Ru1 Ru 0.5000 0.5000 0.1355 1
Ru2 Ru 0.5000 0.5000 0.3177 1
Ru3 Ru 0.5000 0.5000 0.5000 1
# **Fermi-level density of states**: 12.80 states/eV/f.u.
# **Total energy**: -9.95 eV per atom
# **Energy of formation from the pure elements**: -2.3 eV/f.u.
# **M_tot**: 4.6 μB per formula unit


(10)
# ZrV2Co PBE-GGA relaxed
data_ZrV2Co
_symmetry_space_group_name_H-M 'I -4 2 d'
_symmetry_Int_Tables_number 122
_symmetry_space_group_name_Hall 'I -4 2bw'
_cell_length_a 3.5547
_cell_length_b 3.5547
_cell_length_c 19.6614
_cell_angle_alpha 90.00
_cell_angle_beta 90.00
_cell_angle_gamma 90.00
loop_
_atom_site_label
_atom_site_type_symbol
_atom_site_fract_x
_atom_site_fract_y
_atom_site_fract_z
_atom_site_occupancy
Zr1 Zr 0.0000 0.0000 0.0000 1
V1 V 0.2396 0.2500 0.6250 1
Co1 Co 0.0000 0.0000 0.5000 1
# **Fermi-level density of states**: 4.91 states/eV/f.u.
# **Total energy**: -8.12 eV per atom
# **Energy of formation from the pure elements**: 1.4 eV/f.u.
# **M_tot**: 0.0 μB per formula unit


(11)
# ZrSc2Ru PBE-GGA relaxed
data_ZrSc2Ru
_symmetry_space_group_name_H-M 'C 1 2/m 1'
_symmetry_Int_Tables_number 12
_cell_length_a 5.7721
_cell_length_b 9.3031
_cell_length_c 3.0946
_cell_angle_alpha 90.00
_cell_angle_beta 110.03
_cell_angle_gamma 90.00
loop_
_symmetry_equiv_pos_as_xyz
'x,y,z'
'-x,-y,-z'
'-x,y,-z'
'x,-y,z'
'x+1/2,y+1/2,z'
'-x+1/2,-y+1/2,-z'
'-x+1/2,y+1/2,-z'
'x+1/2,-y+1/2,z'
loop_
_atom_site_label
_atom_site_type_symbol
_atom_site_fract_x
_atom_site_fract_y
_atom_site_fract_z
_atom_site_occupancy
Zr1 Zr 0.0000 0.0000 0.0000 1
Sc1 Sc 0.2500 0.2500 0.5000 1
Ru1 Ru 0.0000 0.5000 0.0000 1
# **Fermi-level density of states**: 5.55 states/eV/f.u.
# **Total energy**: -7.66 eV per atom
# **Energy of formation from the pure elements**: -0.1 eV/f.u.
# **M_tot**: 0.0 μB per formula unit


(12)
# Ce8NiOs3Br4 PBE-GGA relaxed
data_Ce8NiOs3Br4
_symmetry_space_group_name_H-M 'C 1 2/m 1'
_symmetry_Int_Tables_number 12
_cell_length_a 14.0565
_cell_length_b 8.1145
_cell_length_c 8.9948
_cell_angle_alpha 90.00
_cell_angle_beta 121.41
_cell_angle_gamma 90.00
loop_
_symmetry_equiv_pos_as_xyz
'x,y,z'
'-x,-y,-z'
'-x,y,-z'
'x,-y,z'
'x+1/2,y+1/2,z'
'-x+1/2,-y+1/2,-z'
'-x+1/2,y+1/2,-z'
'x+1/2,-y+1/2,z'
loop_
_atom_site_label
_atom_site_type_symbol
_atom_site_fract_x
_atom_site_fract_y
_atom_site_fract_z
_atom_site_occupancy
Ce1 Ce 0.0188 0.2484 0.3053 1
Ce2 Ce 0.2326 0.0000 0.6972 1
Ce3 Ce 0.2333 0.5000 0.6951 1
Ni1 Ni 0.0000 0.5000 0.5000 1
Os1 Os 0.0000 0.0000 0.5000 1
Os2 Os 0.2500 0.2500 0.5000 1
Br1 Br 0.0000 0.0000 0.0000 1
Br2 Br 0.0000 0.5000 0.0000 1
Br3 Br 0.2500 0.2500 0.0000 1
# **Fermi-level density of states**: 42.21 states/eV/f.u.
# **Total energy**: -6.61 eV per atom
# **M_tot**: 5.8 μB per formula unit
# **Formation energy (no corrections)**: -73 kJ/mol of atoms